# 1
{
  "formula": "YTa2Tl",
  "functional": "GGA-PBE",
  "state": "optimized geometry",
  "cell": [[5.588, 0.006, -0.014], [4.714, 3.000, -0.014], [1.076, 0.314, 5.219]],
  "species": ["Ta", "Ta", "Tl", "Y"],
  "fractional_positions": [[0.011, 0.011, 0.984], [0.489, 0.489, 0.516], [0.750, 0.750, 0.750], [0.250, 0.250, 0.250]],
  "formation_enthalpy_0k_ev_per_atom": 0.398,
  "dft_energy_ev_per_atom": -7.736,
  "polymorph_energy_ev_per_atom": 0.251
}

# 2
{
  "formula": "YTa2Tl",
  "functional": "GGA-PBE",
  "state": "optimized geometry",
  "cell": [[-0.377, -3.452, 2.059], [4.390, -0.153, 0.547], [-0.428, 2.515, 4.138]],
  "species": ["Ta", "Ta", "Tl", "Y"],
  "fractional_positions": [[0.000, 0.000, 0.000], [0.500, 0.500, 0.000], [0.500, 0.000, 0.500], [0.000, 0.500, 0.500]],
  "formation_enthalpy_0k_ev_per_atom": 0.382,
  "dft_energy_ev_per_atom": -7.752,
  "polymorph_energy_ev_per_atom": 0.234
}